HfNiAu2F: relaxed, PBE with a Hubbard U.

The space group is P4/mmm (No. 123) and the conventional cell measures 4.818, 4.818 and 3.928 Å, with angles of 90.00, 90.00 and 90.00 degrees. The asymmetric unit holds Hf at (0.000, 0.000, 0.000), Ni at (0.500, 0.500, 0.000), Au at (0.000, 0.500, 0.500) and F at (0.000, 0.000, 0.500).

As for the energy: -19.851 eV/cell.